1.
The following is a PBE calculation of crystalline YCrTc2 at its relaxed geometry, from the Alexandria database.

Cell: 4.735 4.735 16.018 Å, 90.00 90.00 90.00°
Space group I4_1/amd (No. 141, origin choice 2)
One atom of each set of equivalent atoms:
Y: 0.000 0.250 0.375 [4 per cell]
Cr: 0.000 0.250 0.875 [4 per cell]
Tc: 0.000 0.000 0.000 [8 per cell]

Properties
Its total energy is -8.425 eV per atom. The calculation puts the density of states at the Fermi level at 1.03 states/eV/atom. The value obtained for the formation energy is 0.7803 eV per atom. The calculation puts the energy above the most stable polymorph in this dataset at 0.604 eV per atom.

***

2.
The following is a PBE calculation of crystalline MgTaH at its relaxed geometry, from the Alexandria database.

Cell: 3.860 4.847 5.230 Å, 113.99 111.51 90.02°
Space group P1 (No. 1)
One atom of each set of equivalent atoms:
Mg: 0.000 0.000 0.000 [1 per cell]
Mg: 0.258 0.751 0.513 [1 per cell]
Ta: 0.503 0.494 0.002 [1 per cell]
Ta: 0.769 0.286 0.532 [1 per cell]
H: 0.292 0.213 0.581 [1 per cell]
H: 0.483 0.889 0.266 [1 per cell]

Properties
Its total energy is -5.481 eV per atom. The calculation puts the density of states at the Fermi level at 0.45 states/eV/atom. The calculation puts the energy above the most stable polymorph in this dataset at 0.176 eV per atom.

***

| no. | M_tot (μB/f.u.) |
| --- | --- |
| 1 | 0.5 |
| 2 | 0.0 |